Record 1
Density functional theory data (meta-GGA SCAN) for Tl2CdAg at its PBEsol-relaxed geometry.

Cell lengths 3.344, 3.344, 9.729 Å; angles 80.10, 80.10, 60.00 degrees
Element x y z (fractional)
1 Tl 0.246 0.246 0.263
2 Cd 0.000 0.000 0.000
3 Ag 0.500 0.500 0.500
4 Tl 0.754 0.754 0.737

Calculated density = 11.31 Mg/m³
Formation energy = 3.0 kcal/mol of atoms
ΔE to the lowest computed polymorph = 81.4 meV per atom



Record 2
Density functional theory data (meta-GGA SCAN) for TlCd2Ag at its PBEsol-relaxed geometry.

Cell lengths 3.041, 5.047, 6.349 Å; angles 113.42, 103.86, 90.00 degrees
Element x y z (fractional)
1 Cd 0.721 0.721 0.442
2 Tl 0.500 0.000 0.000
3 Ag 0.000 0.500 0.000
4 Cd 0.279 0.279 0.558

Calculated density = 10.33 Mg/m³
Formation energy = 1.6 kcal/mol of atoms
ΔE to the lowest computed polymorph = 35.8 meV per atom



Record 3
Density functional theory data (meta-GGA SCAN) for TlCd2Ag at its PBEsol-relaxed geometry.

Cell lengths 3.149, 3.149, 10.107 Å; angles 81.04, 81.04, 60.00 degrees
Element x y z (fractional)
1 Cd 0.741 0.741 0.776
2 Cd 0.259 0.259 0.224
3 Tl 0.500 0.500 0.500
4 Ag 0.000 0.000 0.000

Calculated density = 10.45 Mg/m³
Formation energy = 1.4 kcal/mol of atoms
ΔE to the lowest computed polymorph = 28.1 meV per atom



Record 4
Density functional theory data (meta-GGA SCAN) for TlCd2Ag at its PBEsol-relaxed geometry.

Cell lengths 3.165, 5.099, 5.708 Å; angles 101.26, 90.00, 108.08 degrees
Element x y z (fractional)
1 Tl 0.500 0.000 0.000
2 Ag 0.000 0.000 0.500
3 Cd 0.739 0.479 0.723
4 Cd 0.261 0.521 0.277

Calculated density = 10.41 Mg/m³
Formation energy = 1.7 kcal/mol of atoms
ΔE to the lowest computed polymorph = 39.0 meV per atom



Record 5
Density functional theory data (meta-GGA SCAN) for Cd2AgW at its PBEsol-relaxed geometry.

Cell lengths 4.662, 4.662, 4.662 Å; angles 60.00, 60.00, 60.00 degrees
Last column: magnetic moment on the atom in μB.
Element x y z (fractional)
1 W 0.250 0.250 0.250  1.97
2 Ag 0.500 0.500 0.500  0.06
3 Cd 0.000 0.000 0.000  0.03
4 Cd 0.750 0.750 0.750  -0.04

Calculated density = 11.97 Mg/m³
Formation energy = 19.9 kcal/mol of atoms



Record 6
Density functional theory data (meta-GGA SCAN) for CdAg2W at its PBEsol-relaxed geometry.

Cell lengths 2.731, 4.185, 5.900 Å; angles 90.00, 90.00, 90.00 degrees
Element x y z (fractional)
1 Ag 0.000 0.000 0.993
2 W 0.500 0.500 0.762
3 Ag 0.500 0.500 0.247
4 Cd 0.000 0.000 0.499

Calculated density = 12.61 Mg/m³
Formation energy = 14.2 kcal/mol of atoms



Record 7
Density functional theory data (meta-GGA SCAN) for CdAg4W at its PBEsol-relaxed geometry.

Cell lengths 5.298, 5.298, 5.298 Å; angles 60.00, 60.00, 60.00 degrees
Last column: magnetic moment on the atom in μB.
Element x y z (fractional)
1 Ag 0.375 0.876 0.375  0.01
2 Cd 0.750 0.750 0.750  -0.04
3 Ag 0.375 0.375 0.876  0.01
4 Ag 0.375 0.375 0.375  0.01
5 Ag 0.876 0.375 0.375  0.01
6 W 0.000 0.000 0.000  2.28

Calculated density = 11.49 Mg/m³
Formation energy = 17.5 kcal/mol of atoms



Record 8
Density functional theory data (meta-GGA SCAN) for Y2CdAg2 at its PBEsol-relaxed geometry.

Cell lengths 3.754, 7.793, 7.793 Å; angles 90.00, 90.00, 90.00 degrees
Element x y z (fractional)
1 Y 0.500 0.327 0.173
2 Ag 0.000 0.874 0.626
3 Ag 0.000 0.374 0.874
4 Y 0.500 0.827 0.327
5 Y 0.500 0.673 0.827
6 Ag 0.000 0.126 0.374
7 Cd 0.000 0.500 0.500
8 Cd 0.000 0.000 0.000
9 Ag 0.000 0.626 0.126
10 Y 0.500 0.173 0.673

Calculated density = 7.37 Mg/m³
Formation energy = -9.4 kcal/mol of atoms



Across the entries above, E_tot takes the values -51.492; -41.069; -41.077; -41.066; -39.610; -40.092; -36.837; -30.176 eV/atom, respectively.